{"formula": "BeCdTe2O6", "functional": "PBE-GGA", "state": "optimized geometry", "total_magnetization_mub_per_atom": 0.000, "e_tot_ev_per_atom": -5.442, "formation_energy_uncorrected_ev_per_fu": -13.75, "cell": [[4.281, -7.215, 0.000], [4.281, 7.215, 0.000], [-1.062, 0.000, 5.435]], "species": ["Be", "Be", "Cd", "Cd", "Te", "Te", "Te", "Te", "O", "O", "O", "O", "O", "O", "O", "O", "O", "O", "O", "O"], "frac_coords": [[0.243, 0.757, 0.750], [0.757, 0.243, 0.250], [0.168, 0.832, 0.250], [0.832, 0.168, 0.750], [0.188, 0.396, 0.371], [0.396, 0.188, 0.871], [0.604, 0.812, 0.129], [0.812, 0.604, 0.629], [0.039, 0.689, 0.839], [0.115, 0.275, 0.639], [0.228, 0.636, 0.494], [0.275, 0.115, 0.139], [0.311, 0.961, 0.661], [0.364, 0.772, 0.006], [0.636, 0.228, 0.994], [0.689, 0.039, 0.339], [0.725, 0.885, 0.861], [0.772, 0.364, 0.506], [0.885, 0.725, 0.361], [0.961, 0.311, 0.161]]}